Entry 1:
VASP calculation (PBE-GGA) on Ac5Ce3Sb8 after structural relaxation.

abc: 9.390 9.390 9.390
angles: 60.01 60.01 60.01
Fractional positions:
1 Ac 0.000 0.000 0.000
2 Ac 0.000 0.500 0.500
3 Ac 0.500 0.000 0.500
4 Ac 0.500 0.500 0.000
5 Ac 0.500 0.500 0.500
6 Ce 0.000 0.000 0.500
7 Ce 0.000 0.500 0.000
8 Ce 0.500 0.000 0.000
9 Sb 0.238 0.750 0.750
10 Sb 0.244 0.244 0.244
11 Sb 0.250 0.250 0.762
12 Sb 0.250 0.762 0.250
13 Sb 0.750 0.238 0.750
14 Sb 0.750 0.750 0.238
15 Sb 0.756 0.756 0.756
16 Sb 0.762 0.250 0.250

Summary:
**Mass density**: 7.17 g/cm3
**Volume**: 585.6 Å³/f.u.
**E_form (uncorrected)**: -26.222 kcal/mol of atoms
**Magnetic moment**: 2.5 Bohr magnetons per cell
**Space-group type**: R-3m, No. 166

=====

Entry 2:
VASP calculation (PBE-GGA) on Th2Be4GaPt3 after structural relaxation.

abc: 4.086 4.086 9.763
angles: 90.00 90.00 90.00
Fractional positions:
1 Th 0.000 0.500 0.248
2 Th 0.500 0.000 0.752
3 Be 0.000 0.000 0.000
4 Be 0.000 0.500 0.634
5 Be 0.500 0.000 0.366
6 Be 0.500 0.500 0.000
7 Ga 0.000 0.000 0.500
8 Pt 0.000 0.500 0.879
9 Pt 0.500 0.000 0.121
10 Pt 0.500 0.500 0.500

Summary:
**Mass density**: 11.77 g/cm3
**Volume**: 163.0 Å³/f.u.
**DFT formation energy**: -0.73 eV/atom
**Magnetic moment**: 0.0 Bohr magnetons per cell
**Space-group type**: P-4m2, No. 115

=====

Entry 3:
VASP calculation (PBE-GGA) on HfCd2Pd after structural relaxation.

abc: 4.751 4.751 4.751
angles: 60.00 60.00 60.00
Fractional positions:
1 Hf 0.000 0.000 0.000
2 Cd 0.250 0.250 0.250
3 Cd 0.750 0.750 0.750
4 Pd 0.500 0.500 0.500

Summary:
**Mass density**: 11.16 g/cm3
**Volume**: 75.9 Å³/f.u.
**DFT formation energy**: -0.11 eV/atom
**Magnetic moment**: 0.0 Bohr magnetons per cell
**Space-group type**: Fm-3m, No. 225